This record from Alexandria describes LuB2 after structural relaxation. The functional is PBE.

Results
- DFT total energy: -0.1949 hartree per atom
- Spin magnetization: 0.0 μB per formula unit
- SG: I4/mmm (139)

Unit cell a=2.808 b=2.808 c=4.885 alpha=106.70 beta=106.70 gamma=90.00
Sites, in units of the cell vectors:
B 0.286 0.286 0.573
B 0.714 0.714 0.427
Lu 0.000 0.000 0.000